NbInIN2: optimized geometry, GGA-PBE.

Properties
* polymorph energy (0 for the lowest one): 0 meV per atom
* uncorrected formation energy: 0.463 eV/atom
* magnetic moment: 0.9 Bohr magnetons per cell
* D(E_F): 0.220 states/eV/atom
* V: 108.43 Å³/cell
* space-group type: No. 123

Cell lengths 4.339, 4.339, 5.759 Å; angles 90.00, 90.00, 90.00 degrees
Element x y z (fractional)
Nb 0.000 0.000 0.000
In 0.500 0.500 0.500
I 0.000 0.000 0.500
N 0.000 0.500 0.000
N 0.500 0.000 0.000

AcNbGaO6: optimized geometry, GGA-PBE.

Properties
* uncorrected formation energy: -2.383 eV/atom
* magnetic moment: 2.2 Bohr magnetons per cell
* D(E_F): 0.880 states/eV/atom
* V: 261.34 Å³/cell
* space-group type: No. 163

Cell lengths 5.331, 5.331, 10.619 Å; angles 90.00, 90.00, 120.00 degrees
Element x y z (fractional)
Ac 0.000 0.000 0.000
Ac 0.000 0.000 0.500
Nb 0.333 0.667 0.250
Nb 0.667 0.333 0.750
Ga 0.333 0.667 0.750
Ga 0.667 0.333 0.250
O 0.001 0.380 0.644
O 0.001 0.622 0.856
O 0.378 0.380 0.856
O 0.378 0.999 0.644
O 0.380 0.001 0.144
O 0.380 0.378 0.356
O 0.620 0.622 0.644
O 0.620 0.999 0.856
O 0.622 0.001 0.356
O 0.622 0.620 0.144
O 0.999 0.378 0.144
O 0.999 0.620 0.356

Np3VS6: optimized geometry, GGA-PBE.

Properties
* uncorrected formation energy: -1.260 eV/atom
* magnetic moment: 21.9 Bohr magnetons per cell
* D(E_F): 2.773 states/eV/atom
* V: 428.29 Å³/cell
* space-group type: No. 148

Cell lengths 7.635, 7.635, 7.635 Å; angles 98.60, 98.60, 98.60 degrees
Element x y z (fractional)
Np 0.126 0.617 0.796
Np 0.204 0.874 0.383
Np 0.383 0.204 0.874
Np 0.617 0.796 0.126
Np 0.796 0.126 0.617
Np 0.874 0.383 0.204
V 0.000 0.000 0.000
V 0.500 0.500 0.500
S 0.067 0.929 0.693
S 0.071 0.307 0.933
S 0.187 0.529 0.436
S 0.307 0.933 0.071
S 0.436 0.187 0.529
S 0.471 0.564 0.813
S 0.529 0.436 0.187
S 0.564 0.813 0.471
S 0.693 0.067 0.929
S 0.813 0.471 0.564
S 0.929 0.693 0.067
S 0.933 0.071 0.307

Ac8SnSb5: optimized geometry, GGA-PBE.

Properties
* uncorrected formation energy: -0.964 eV/atom
* magnetic moment: 0.0 Bohr magnetons per cell
* D(E_F): 1.215 states/eV/atom
* V: 514.60 Å³/cell
* space-group type: No. 82

Cell lengths 8.744, 8.744, 8.744 Å; angles 109.49, 109.49, 109.44 degrees
Element x y z (fractional)
Ac 0.124 0.377 0.612
Ac 0.125 0.376 0.109
Ac 0.266 0.016 0.891
Ac 0.488 0.876 0.253
Ac 0.623 0.235 0.747
Ac 0.624 0.734 0.750
Ac 0.765 0.512 0.388
Ac 0.984 0.875 0.250
Sn 0.500 0.500 0.000
Sb 0.000 0.627 0.877
Sb 0.250 0.750 0.500
Sb 0.373 0.250 0.373
Sb 0.750 0.124 0.123
Sb 0.876 0.000 0.627

LiAcSnPd: optimized geometry, GGA-PBE.

Properties
* polymorph energy (0 for the lowest one): 0 meV per atom
* energy of formation: -680 meV/atom
* magnetic moment: 0.0 Bohr magnetons per cell
* D(E_F): 0.367 states/eV/atom
* V: 97.24 Å³/cell
* space-group type: No. 8

Cell lengths 4.759, 4.759, 5.669 Å; angles 114.86, 114.86, 60.03 degrees
Element x y z (fractional)
Li 0.000 0.000 0.000
Ac 0.796 0.796 0.388
Sn 0.288 0.288 0.863
Pd 0.593 0.593 0.778

AlGa2Pb: optimized geometry, GGA-PBE.

Properties
* polymorph energy (0 for the lowest one): 67 meV per atom
* energy of formation: 166 meV/atom
* magnetic moment: 0.0 Bohr magnetons per cell
* D(E_F): 0.420 states/eV/atom
* V: 92.64 Å³/cell
* space-group type: No. 166

Cell lengths 7.421, 7.421, 7.421 Å; angles 30.38, 30.38, 30.38 degrees
Element x y z (fractional)
Al 0.000 0.000 0.000
Ga 0.265 0.265 0.265
Ga 0.735 0.735 0.735
Pb 0.500 0.500 0.500

Q: Which value of D(E_F) does entry 2 give?
A: 0.880 states/eV/atom